Record 1
## Ba2CoSi (PBE)

Data for Ba2CoSi after structural relaxation.

Calculated values
Total DFT energy (no corrections) ... -15.6 eV per cell

a b c (Å): 3.440 3.440 9.587
angles (deg): 90.00 90.00 90.01
Element x y z (fractional)
Ba  0.000  0.000  0.906
Ba  0.500  0.500  0.338
Co  0.000  0.000  0.592
Si  0.500  0.500  0.664

Record 2
## PmHo3Al3 (PBE)

Data for PmHo3Al3 after structural relaxation.

Calculated values
Formation enthalpy at 0 K ... -176 kJ/mol of formula units

a b c (Å): 7.264 7.264 6.928
angles (deg): 90.00 90.00 91.25
Element x y z (fractional)
Pm  0.741  0.741  0.000
Pm  0.259  0.259  0.000
Ho  0.737  0.737  0.500
Ho  0.255  0.745  0.500
Ho  0.745  0.255  0.500
Ho  0.247  0.753  0.000
Ho  0.753  0.247  0.000
Ho  0.263  0.263  0.500
Al  0.000  0.000  0.267
Al  0.000  0.500  0.740
Al  0.500  0.000  0.740
Al  0.000  0.500  0.260
Al  0.500  0.000  0.260
Al  0.000  0.000  0.733

Record 3
## TcAgRu2 (PBE)

Data for TcAgRu2 after structural relaxation.

Calculated values
Excess energy over the best structure of this formula in the dataset ... 28.4 kJ/mol of atoms
Formation enthalpy at 0 K ... 189 kJ/mol of formula units

a b c (Å): 4.764 4.764 2.757
angles (deg): 90.00 90.00 108.64
Element x y z (fractional)
Ag  0.000  0.500  0.500
Ru  0.000  0.000  0.000
Ru  0.500  0.500  0.000
Tc  0.500  0.000  0.500

Record 4
## Mg2CuSbIr (PBE)

Data for Mg2CuSbIr after structural relaxation.

Calculated values
Total DFT energy (no corrections) ... -18.5 eV per cell

a b c (Å): 4.694 4.633 4.694
angles (deg): 90.00 90.00 90.00
Element x y z (fractional)
Sb  0.500  0.500  0.500
Mg  0.000  0.000  0.500
Mg  0.500  0.000  0.000
Ir  0.000  0.500  0.000
Cu  0.000  0.000  0.000

Record 5
## SrPrNi2H8 (PBE)

Data for SrPrNi2H8 after structural relaxation.

Calculated values
Total DFT energy (no corrections) ... -47.7 eV per cell

a b c (Å): 4.722 4.722 6.997
angles (deg): 70.28 70.28 60.00
Element x y z (fractional)
Sr  0.000  0.000  0.000
Pr  0.500  0.500  0.500
Ni  0.231  0.231  0.308
Ni  0.769  0.769  0.692
H  0.148  0.148  0.555
H  0.440  0.440  0.193
H  0.852  0.852  0.445
H  0.927  0.440  0.193
H  0.073  0.560  0.807
H  0.440  0.927  0.193
H  0.560  0.073  0.807
H  0.560  0.560  0.807

Record 6
## Ac12Sc5Bi3 (PBE)

Data for Ac12Sc5Bi3 after structural relaxation.

Calculated values
Formation enthalpy at 0 K ... 1015 kJ/mol of formula units

a b c (Å): 16.708 16.708 16.708
angles (deg): 109.47 109.47 109.47
Element x y z (fractional)
Bi  0.750  0.375  0.125
Bi  0.875  0.750  0.125
Bi  0.375  0.750  0.625
Bi  0.250  0.125  0.375
Bi  0.875  0.125  0.250
Bi  0.375  0.625  0.250
Bi  0.625  0.375  0.750
Bi  0.125  0.875  0.750
Bi  0.750  0.875  0.625
Bi  0.625  0.250  0.375
Bi  0.125  0.250  0.875
Bi  0.250  0.625  0.875
Sc  0.125  0.375  0.250
Sc  0.000  0.500  0.000
Sc  0.000  0.000  0.000
Sc  0.375  0.250  0.125
Sc  0.500  0.000  0.500
Sc  0.500  0.500  0.000
Sc  0.125  0.750  0.375
Sc  0.750  0.125  0.875
Sc  0.750  0.625  0.375
Sc  0.375  0.125  0.750
Sc  0.625  0.875  0.250
Sc  0.500  0.500  0.500
Sc  0.500  0.000  0.000
Sc  0.000  0.000  0.500
Sc  0.250  0.375  0.625
Sc  0.250  0.875  0.125
Sc  0.000  0.500  0.500
Sc  0.875  0.250  0.625
Sc  0.625  0.750  0.875
Sc  0.875  0.625  0.750
Ac  0.721  0.133  0.055
Ac  0.334  0.555  0.421
Ac  0.945  0.367  0.279
Ac  0.555  0.221  0.133
Ac  0.588  0.721  0.666
Ac  0.945  0.579  0.166
Ac  0.334  0.779  0.412
Ac  0.079  0.912  0.133
Ac  0.579  0.945  0.666
Ac  0.721  0.588  0.166
Ac  0.779  0.445  0.367
Ac  0.834  0.921  0.055
Ac  0.133  0.721  0.555
Ac  0.367  0.421  0.088
Ac  0.088  0.921  0.367
Ac  0.412  0.133  0.579
Ac  0.088  0.166  0.221
Ac  0.445  0.666  0.079
Ac  0.834  0.912  0.279
Ac  0.133  0.412  0.079
Ac  0.367  0.945  0.779
Ac  0.579  0.633  0.412
Ac  0.921  0.834  0.555
Ac  0.779  0.334  0.912
Ac  0.421  0.367  0.588
Ac  0.079  0.166  0.445
Ac  0.221  0.666  0.088
Ac  0.166  0.088  0.721
Ac  0.633  0.055  0.221
Ac  0.867  0.588  0.921
Ac  0.555  0.334  0.921
Ac  0.588  0.867  0.421
Ac  0.912  0.834  0.779
Ac  0.912  0.079  0.633
Ac  0.867  0.279  0.445
Ac  0.166  0.079  0.945
Ac  0.633  0.579  0.912
Ac  0.421  0.055  0.334
Ac  0.279  0.412  0.834
Ac  0.221  0.555  0.633
Ac  0.921  0.088  0.867
Ac  0.666  0.221  0.588
Ac  0.445  0.779  0.867
Ac  0.055  0.421  0.834
Ac  0.412  0.279  0.334
Ac  0.055  0.633  0.721
Ac  0.666  0.445  0.579
Ac  0.279  0.867  0.945

Record 7
## Ba2Sr2Ga (PBE)

Data for Ba2Sr2Ga after structural relaxation.

Calculated values
Excess energy over the best structure of this formula in the dataset ... 6.7 kJ/mol of atoms
Formation enthalpy at 0 K ... 51 kJ/mol of formula units

a b c (Å): 8.790 8.790 6.826
angles (deg): 90.00 90.00 90.00
Element x y z (fractional)
Sr  0.169  0.669  0.500
Sr  0.669  0.831  0.500
Sr  0.831  0.331  0.500
Sr  0.331  0.169  0.500
Ba  0.342  0.842  0.000
Ba  0.842  0.658  0.000
Ba  0.658  0.158  0.000
Ba  0.158  0.342  0.000
Ga  0.000  0.000  0.000
Ga  0.500  0.500  0.000

Record 8
## AcNdYS3 (PBE)

Data for AcNdYS3 after structural relaxation.

Calculated values
Total DFT energy (no corrections) ... -79.1 eV per cell

a b c (Å): 4.053 7.060 10.641
angles (deg): 102.76 90.00 90.00
Element x y z (fractional)
Ac  0.250  0.346  0.307
Ac  0.750  0.654  0.693
Nd  0.250  0.766  0.055
Nd  0.750  0.234  0.945
Y  0.250  0.125  0.631
Y  0.750  0.875  0.369
S  0.750  0.050  0.160
S  0.250  0.950  0.840
S  0.250  0.737  0.497
S  0.750  0.263  0.503
S  0.750  0.554  0.167
S  0.250  0.446  0.833

We obtain total magnetization values of 0.0, 0.0, 0.0, 0.0, 0.0, 0.0, 0.0, 0.0 μB per formula unit for the records listed above, in that order.